# NdYIr2 PBE-GGA relaxed
data_NdYIr2
_chemical_formula_sum 'Nd2 Y2 Ir4'
_symmetry_space_group_name_H-M 'A m m 2'
_symmetry_Int_Tables_number 38
_cell_length_a 4.2097
_cell_length_b 4.0462
_cell_length_c 10.7217
_cell_angle_alpha 90.00
_cell_angle_beta 90.00
_cell_angle_gamma 90.00
loop_
_symmetry_equiv_pos_as_xyz
'x,y,z'
'-x,-y,z'
'-x,y,z'
'x,-y,z'
'x,y+1/2,z+1/2'
'-x,-y+1/2,z+1/2'
'-x,y+1/2,z+1/2'
'x,-y+1/2,z+1/2'
loop_
_atom_site_label
_atom_site_type_symbol
_atom_site_fract_x
_atom_site_fract_y
_atom_site_fract_z
_atom_site_occupancy
Nd1 Nd 0.0000 0.0000 0.0000 1
Y1 Y 0.5000 0.0000 0.7074 1
Ir1 Ir 0.0000 0.0000 0.2745 1
Ir2 Ir 0.5000 0.0000 0.4252 1
# Theoretical density (kg/m3): 11231
# Energy of formation from the pure elements (eV per atom): -0.672
# Polymorph energy (0 for the lowest one) (meV per atom): 0
# M_tot (μB per atom): 0.000